Here is a geometry-optimized ScN structure from the Alexandria database. Energies are from PBE-GGA.

Its formation energy (no corrections) is -1614 meV/atom. The crystal system is cubic. The volume comes out at 117 Å³/cell.

The space group is F-43m (No. 216) and the conventional cell measures 4.8941, 4.8941 and 4.8941 Å, with angles of 90.00, 90.00 and 90.00 degrees. The asymmetric unit holds Sc at (0.0000, 0.0000, 0.0000) and N at (0.2500, 0.2500, 0.7500).


Here is a geometry-optimized PaGeP2 structure from the Alexandria database. Energies are from PBE-GGA.

The calculation puts the energy above the most stable polymorph in this dataset at 0.000 eV per atom. The crystal system is tetragonal. The volume comes out at 71 Å³/cell. Its formation energy is -0.643 eV per atom.

The space group is P4/mmm (No. 123) and the conventional cell measures 4.3440, 4.3440 and 3.7561 Å, with angles of 90.00, 90.00 and 90.00 degrees. The asymmetric unit holds Pa at (0.0000, 0.0000, 0.0000), Ge at (0.5000, 0.5000, 0.0000) and P at (0.0000, 0.5000, 0.5000).


Here is a geometry-optimized Zr2MnRe structure from the Alexandria database. Energies are from PBE-GGA.

The crystal system is trigonal. The volume comes out at 223 Å³/cell. Its formation energy is 0.240 eV per atom.

The space group is R-3m (No. 166, hexagonal axes) and the conventional cell measures 3.1562, 3.1562 and 25.8831 Å, with angles of 90.00, 90.00 and 120.00 degrees. The asymmetric unit holds Zr at (0.0000, 0.0000, 0.2484), Mn at (0.0000, 0.0000, 0.0000) and Re at (0.0000, 0.0000, 0.5000).


Here is a geometry-optimized CeAl11Cr structure from the Alexandria database. Energies are from PBE-GGA.

The crystal system is monoclinic. The volume comes out at 442 Å³/cell. Its formation energy is -0.173 eV per atom.

The space group is C2/m (No. 12) and the conventional cell measures 5.2671, 12.7724 and 7.0642 Å, with angles of 90.00, 111.66 and 90.00 degrees. The asymmetric unit holds Ce at (0.0000, 0.0000, 0.0000), Al at (0.0000, 0.0000, 0.5000), Al at (0.1047, 0.3931, 0.2232), Al at (0.1984, 0.1721, 0.3617), Al at (0.2500, 0.2500, 0.0000) and Cr at (0.0000, 0.5000, 0.5000).


Here is a geometry-optimized Ag5SbSe4Br2 structure from the Alexandria database. Energies are from PBE-GGA.

Its formation energy (no corrections) is -188 meV/atom. The crystal system is orthorhombic. The volume comes out at 647 Å³/cell.

The space group is Amm2 (No. 38) and the conventional cell measures 8.0734, 12.2326 and 6.5469 Å, with angles of 90.00, 90.00 and 90.00 degrees. The asymmetric unit holds Ag at (0.0000, 0.0000, 0.0000), Ag at (0.2725, 0.1938, 0.4644), Sb at (0.5000, 0.0000, 0.0559), Se at (0.2409, 0.0000, 0.2774), Se at (0.5000, 0.1698, 0.8216) and Br at (0.0000, 0.1704, 0.7213).


Here is a geometry-optimized Ti2AlP structure from the Alexandria database. Energies are from PBE-GGA.

The calculation puts the energy above the most stable polymorph in this dataset at 0.234 eV per atom. The crystal system is tetragonal. The volume comes out at 262 Å³/cell. Its formation energy is -0.400 eV per atom.

The space group is I-42d (No. 122) and the conventional cell measures 6.9165, 6.9165 and 5.4829 Å, with angles of 90.00, 90.00 and 90.00 degrees. The asymmetric unit holds Ti at (0.2223, 0.2500, 0.1250), Al at (0.0000, 0.0000, 0.5000) and P at (0.0000, 0.0000, 0.0000).


Here is a geometry-optimized CrIn2Mo structure from the Alexandria database. Energies are from PBE-GGA.

The calculation puts the energy above the most stable polymorph in this dataset at 0.223 eV per atom. The crystal system is tetragonal. The volume comes out at 75 Å³/cell. Its formation energy is 0.456 eV per atom.

The space group is P4/mmm (No. 123) and the conventional cell measures 2.9710, 2.9710 and 8.4446 Å, with angles of 90.00, 90.00 and 90.00 degrees. The asymmetric unit holds Cr at (0.0000, 0.0000, 0.0000), In at (0.5000, 0.5000, 0.2481) and Mo at (0.0000, 0.0000, 0.5000).


Here is a geometry-optimized ZnGa3Tc structure from the Alexandria database. Energies are from PBE-GGA.

The calculation puts the energy above the most stable polymorph in this dataset at 0.000 eV per atom. The crystal system is monoclinic. The volume comes out at 343 Å³/cell. Its formation energy is -0.026 eV per atom.

The space group is C2/m (No. 12) and the conventional cell measures 5.5029, 8.9168 and 6.9844 Å, with angles of 90.00, 90.11 and 90.00 degrees. The asymmetric unit holds Zn at (0.0000, 0.0000, 0.0000), Zn at (0.0000, 0.5000, 0.0000), Ga at (0.2499, 0.0000, 0.4586), Ga at (0.2503, 0.2173, 0.8152) and Tc at (0.0000, 0.2500, 0.5000).